(1)
{
  "formula": "LaPa2FeN4",
  "functional": "GGA-PBE",
  "state": "relaxed",
  "lattice_angstrom": [[-0.2900, -1.4449, 3.1688], [5.7348, 1.9991, -0.4907], [-3.1702, 10.1600, 4.3424]],
  "species": ["La", "La", "N", "N", "N", "N", "N", "N", "N", "N", "Fe", "Fe", "Pa", "Pa", "Pa", "Pa"],
  "fractional_positions": [[0.1002, 0.2004, 0.7500], [0.8998, 0.7996, 0.2500], [0.5583, 0.1166, 0.2500], [0.7344, 0.4687, 0.6125], [0.0000, 0.0000, 0.5000], [0.0000, 0.0000, 0.0000], [0.7344, 0.4687, 0.8875], [0.2656, 0.5313, 0.1125], [0.4417, 0.8834, 0.7500], [0.2656, 0.5313, 0.3875], [0.1607, 0.3214, 0.2500], [0.8393, 0.6786, 0.7500], [0.3676, 0.7351, 0.9401], [0.6324, 0.2649, 0.0599], [0.3676, 0.7351, 0.5599], [0.6324, 0.2649, 0.4401]],
  "m_tot_mub_per_atom": 0.135,
  "raw_formation_energy_ev_per_fu": -10.81
}



(2)
{
  "formula": "LaPaFeN4",
  "functional": "GGA-PBE",
  "state": "relaxed",
  "lattice_angstrom": [[3.7350, 0.0000, 0.0000], [0.0000, 3.7350, 0.0000], [-1.8675, -1.8675, 6.4029]],
  "species": ["N", "N", "N", "N", "Pa", "Fe", "La"],
  "fractional_positions": [[0.9912, 0.4912, 0.9825], [0.1969, 0.1969, 0.3938], [0.8335, 0.8335, 0.6669], [0.4912, 0.9912, 0.9825], [0.3620, 0.3620, 0.7241], [0.9818, 0.9818, 0.9635], [0.6433, 0.6433, 0.2867]],
  "m_tot_mub_per_atom": 0.296,
  "raw_formation_energy_ev_per_fu": -7.05
}



(3)
{
  "formula": "La6FePb2N",
  "functional": "GGA-PBE",
  "state": "relaxed",
  "lattice_angstrom": [[-4.2522, 3.4317, -5.1853], [-1.1943, -6.8107, -2.9856], [-6.9038, -2.2898, -1.0636]],
  "species": ["La", "La", "La", "La", "La", "La", "Pb", "Pb", "N", "Fe"],
  "fractional_positions": [[0.2210, 0.2216, 0.0511], [0.2747, 0.2746, 0.5033], [0.7307, 0.2688, 0.9999], [0.2693, 0.7312, 0.0001], [0.7253, 0.7254, 0.4967], [0.7790, 0.7784, 0.9489], [0.2495, 0.7504, 0.5001], [0.7505, 0.2496, 0.4999], [0.5000, 0.5000, 0.0000], [0.0000, 0.0000, 0.0000]],
  "m_tot_mub_per_atom": 0.000,
  "raw_formation_energy_ev_per_fu": -5.12
}



(4)
{
  "formula": "La2FePdN",
  "functional": "GGA-PBE",
  "state": "relaxed",
  "lattice_angstrom": [[5.2460, 0.0000, 0.0000], [0.0000, 5.2460, 0.0000], [0.0000, 0.0000, 3.6042]],
  "species": ["Fe", "La", "La", "N", "Pd"],
  "fractional_positions": [[0.0000, 0.0000, 0.5000], [0.5000, 0.0000, 0.0000], [0.0000, 0.5000, 0.0000], [0.0000, 0.0000, 0.0000], [0.5000, 0.5000, 0.5000]],
  "m_tot_mub_per_atom": 0.033,
  "raw_formation_energy_ev_per_fu": -3.97
}



(5)
{
  "formula": "La2PrFeN4",
  "functional": "GGA-PBE",
  "state": "relaxed",
  "lattice_angstrom": [[-0.4143, -2.4330, 2.5210], [5.1214, 3.3257, 1.5826], [-7.0594, 7.8280, 6.3948]],
  "species": ["N", "N", "N", "N", "N", "N", "N", "N", "La", "La", "La", "La", "Fe", "Fe", "Pr", "Pr"],
  "fractional_positions": [[0.2728, 0.5456, 0.3616], [0.2728, 0.5456, 0.1384], [0.6085, 0.2169, 0.2500], [0.3915, 0.7831, 0.7500], [0.7272, 0.4544, 0.8616], [0.0000, 0.0000, 0.0000], [0.0000, 0.0000, 0.5000], [0.7272, 0.4544, 0.6384], [0.6323, 0.2646, 0.4564], [0.6323, 0.2646, 0.0436], [0.3677, 0.7354, 0.9564], [0.3677, 0.7354, 0.5436], [0.1651, 0.3303, 0.2500], [0.8349, 0.6697, 0.7500], [0.1245, 0.2490, 0.7500], [0.8755, 0.7510, 0.2500]],
  "m_tot_mub_per_atom": 0.000,
  "raw_formation_energy_ev_per_fu": -7.05
}



(6)
{
  "formula": "LaPuFeN3",
  "functional": "GGA-PBE",
  "state": "relaxed",
  "lattice_angstrom": [[-1.6782, -0.6845, -2.8836], [6.3827, -0.0285, -3.7079], [-0.5121, -6.9922, 1.9577]],
  "species": ["La", "La", "N", "N", "N", "N", "N", "N", "Pu", "Pu", "Fe", "Fe"],
  "fractional_positions": [[0.2500, 0.1796, 0.2071], [0.7500, 0.8204, 0.7929], [0.7500, 0.8634, 0.1506], [0.2500, 0.1366, 0.8494], [0.2500, 0.8277, 0.5090], [0.7500, 0.1723, 0.4910], [0.2500, 0.5710, 0.8627], [0.7500, 0.4290, 0.1373], [0.7500, 0.3478, 0.8249], [0.2500, 0.6522, 0.1751], [0.2500, 0.0837, 0.5828], [0.7500, 0.9163, 0.4172]],
  "m_tot_mub_per_atom": 0.633,
  "raw_formation_energy_ev_per_fu": -5.44
}